## LiTmIn2Pd4 (PBE-GGA)

Data for a relaxed LiTmIn2Pd4 crystal.

Geometry as extended XYZ:
```
8
Lattice="4.6432 0.0000 0.0000 2.3216 4.0211 0.0000 2.3216 1.3404 7.5871" Properties=species:S:1:pos:R:3 pbc="T T T"
Li 4.6432 2.6807 3.7935
Tm 0.0000 0.0000 0.0000
In 6.9648 4.0211 5.5974
In 2.3216 1.3404 1.9897
Pd 4.6432 2.6807 6.5012
Pd 6.9648 4.0211 2.8237
Pd 2.3216 1.3404 4.7634
Pd 4.6432 2.6807 1.0859
```

Calculated values
**Density of states at the Fermi level**: 0.386 states/eV/atom
**Energy relative to the elements**: -0.703 eV/atom
**E_tot**: -0.17576 Ha/atom
**Calculated volume**: 141.7 Å³/cell
**Total magnetization**: 0.000 μB/atom

## K5Tb3F12 (PBE-GGA)

Data for a relaxed K5Tb3F12 crystal.

Geometry as extended XYZ:
```
80
Lattice="-5.5756 -1.2230 -11.8827 0.0724 -11.7139 6.0466 -6.8784 8.6267 7.2145" Properties=species:S:1:pos:R:3 pbc="T T T"
Tb -5.0144 -4.2316 -5.7427
Tb -5.6842 -8.7772 -4.9606
Tb -6.3356 -3.8524 4.5880
Tb -3.9643 1.4650 0.4906
Tb -6.5892 -0.3777 -7.8379
Tb -3.7652 -5.6231 1.1267
Tb -8.6164 1.3129 0.2517
Tb -5.7924 -3.9325 9.2164
Tb -8.4174 -5.7752 0.8878
Tb -6.0461 -0.4578 -3.2096
Tb -6.6975 4.4670 6.3390
Tb -7.3672 -0.0786 7.1212
K -2.3894 -2.3889 2.5858
K 0.0362 -5.8570 3.0233
K 0.0000 0.0000 0.0000
K -2.9326 -2.3088 -2.0425
K -6.2270 3.7019 -2.3341
K -2.7516 -6.4685 -2.9181
K -3.2220 -5.7033 5.7551
K -10.1913 5.1669 -1.8435
K -6.7159 -5.0034 -2.4275
K -7.2406 4.5472 1.7107
K -5.1410 -8.8574 -0.3323
K -6.1908 -2.1551 0.6892
K -2.7878 -0.6115 -5.9414
K -3.4392 4.3134 3.6073
K -5.6658 0.6932 3.8059
K -2.1903 -9.4771 3.2219
K -3.4030 -1.5436 6.6306
K -9.1596 1.3931 -4.3766
K -9.4491 -2.0014 3.4210
K -9.9922 -1.9213 -1.2073
F -10.1271 5.4496 0.8738
F -3.9475 -3.5411 0.6589
F -2.7606 -0.3508 4.3680
F -3.9448 -0.2985 -3.5924
F -6.7285 -2.2102 3.2704
F -1.0426 -7.1842 5.0306
F -5.8950 -5.8548 5.2070
F -2.4854 0.5033 -0.7239
F -8.3739 4.3586 -3.7175
F -4.3574 -4.5396 -3.7276
F -7.0344 -4.5419 -5.1021
F -11.4528 -1.8494 1.5690
F -4.2820 -3.3326 4.9039
F -8.0818 4.2508 4.7192
F -7.2443 -7.6646 -4.0040
F -8.0940 3.2371 -0.5306
F -5.9444 -1.7724 -9.3299
F -4.3449 -6.2899 -0.8243
F -7.4407 1.4008 -7.0018
F -2.4808 -5.1144 2.7634
F -7.8184 6.9691 2.8370
F -7.8762 -3.9928 -0.1691
F -7.5955 -6.9395 -0.7110
F -5.4171 -4.6679 -7.8006
F -4.5054 -0.3175 1.5476
F -4.7862 2.6292 2.0894
F -6.9646 0.3577 9.1790
F -4.9409 -5.7110 8.3803
F -4.5632 -11.2793 -1.4586
F -9.9008 0.8042 -1.3850
F -8.0367 1.9797 2.2027
F -4.2876 -7.5473 1.9090
F -6.4372 -2.5378 10.7084
F -5.1373 3.3544 5.3824
F -8.0997 -0.9776 -3.5255
F -0.9288 -2.4608 -0.1905
F -4.2998 -8.5610 -3.3407
F -4.0077 -8.6688 5.0959
F -8.0242 0.2294 5.1061
F -5.3472 0.2317 6.4805
F -9.8963 -4.8135 2.1024
F -6.4866 1.5446 -3.8286
F -8.4368 -4.0117 4.9708
F -11.3391 2.8740 -3.6522
F -5.6532 -2.1000 -1.8919
F -9.6211 -3.9594 -2.9896
F -8.4342 -0.7691 0.7196
F -2.2546 -9.7598 0.5046
```

Calculated values
**Formation energy without anion corrections**: -3.208 eV/atom
**Density of states at the Fermi level**: 0.121 states/eV/atom
**E_tot**: -0.19477 Ha/atom
**Calculated volume**: 1763.5 Å³/cell
**Total magnetization**: 0.000 μB/atom

The highest density of states at the Fermi level belongs to which entry? LiTmIn2Pd4

What is the formula in the first record? LiTmIn2Pd4

Among the records above, which one has the lowest density of states at the Fermi level? K5Tb3F12

density of states at the Fermi level of number 1 (LiTmIn2Pd4)? 0.386 states/eV/atom